[1]
An optimized crystal structure of BeAs2OsBr, computed with PBE.

CIF file:
```
data_BeAs2OsBr
_cell_length_a 4.3259
_cell_length_b 4.3259
_cell_length_c 4.6382
_cell_angle_alpha 90.00
_cell_angle_beta 90.00
_cell_angle_gamma 90.00
_symmetry_space_group_name_H-M 'P 4/m m m'
_symmetry_Int_Tables_number 123
_symmetry_space_group_name_Hall '-P 4 2'
loop_
_atom_site_label
_atom_site_fract_x
_atom_site_fract_y
_atom_site_fract_z
_atom_site_occupancy
Be1 0.0000 0.0000 0.0000 1
As1 0.0000 0.5000 0.0000 1
Os1 0.5000 0.5000 0.5000 1
Br1 0.0000 0.0000 0.5000 1
```

Calculated values
Formation energy from raw total energies, eV per atom: 1.18



[2]
An optimized crystal structure of LaTbMgPd, computed with PBE.

CIF file:
```
data_LaTbMgPd
_cell_length_a 7.4653
_cell_length_b 7.4653
_cell_length_c 7.4653
_cell_angle_alpha 90.00
_cell_angle_beta 90.00
_cell_angle_gamma 90.00
_symmetry_space_group_name_H-M 'F -4 3 m'
_symmetry_Int_Tables_number 216
_symmetry_space_group_name_Hall 'F -4 2 3'
loop_
_atom_site_label
_atom_site_fract_x
_atom_site_fract_y
_atom_site_fract_z
_atom_site_occupancy
La1 0.0000 0.0000 0.0000 1
Tb1 0.0000 0.0000 0.5000 1
Mg1 0.2500 0.2500 0.2500 1
Pd1 0.2500 0.2500 0.7500 1
```

Calculated values
Energy of formation from the pure elements, eV/atom: -0.35



[3]
An optimized crystal structure of FeMoI3, computed with PBE.

CIF file:
```
data_FeMoI3
_cell_length_a 5.4947
_cell_length_b 5.4947
_cell_length_c 5.4947
_cell_angle_alpha 90.00
_cell_angle_beta 90.00
_cell_angle_gamma 90.00
_symmetry_space_group_name_H-M 'P m -3 m'
_symmetry_Int_Tables_number 221
_symmetry_space_group_name_Hall '-P 4 2 3'
loop_
_atom_site_label
_atom_site_fract_x
_atom_site_fract_y
_atom_site_fract_z
_atom_site_occupancy
Fe1 0.0000 0.0000 0.0000 1
Mo1 0.5000 0.5000 0.5000 1
I1 0.0000 0.5000 0.5000 1
```

Calculated values
Formation energy from raw total energies, eV per atom: 1.05



[4]
An optimized crystal structure of Zn2Ir, computed with PBE.

CIF file:
```
data_Zn2Ir
_cell_length_a 5.9174
_cell_length_b 5.9174
_cell_length_c 5.9174
_cell_angle_alpha 90.00
_cell_angle_beta 90.00
_cell_angle_gamma 90.00
_symmetry_space_group_name_H-M 'F m -3 m'
_symmetry_Int_Tables_number 225
_symmetry_space_group_name_Hall '-F 4 2 3'
loop_
_atom_site_label
_atom_site_fract_x
_atom_site_fract_y
_atom_site_fract_z
_atom_site_occupancy
Zn1 0.2500 0.2500 0.2500 1
Ir1 0.0000 0.0000 0.0000 1
```

Calculated values
Energy of formation from the pure elements, eV/atom: 0.06



[5]
An optimized crystal structure of Ta2AsAu, computed with PBE.

CIF file:
```
data_Ta2AsAu
_cell_length_a 6.2169
_cell_length_b 7.0768
_cell_length_c 3.1514
_cell_angle_alpha 90.00
_cell_angle_beta 90.40
_cell_angle_gamma 90.00
_symmetry_space_group_name_H-M 'C 1 2/m 1'
_symmetry_Int_Tables_number 12
loop_
_symmetry_equiv_pos_as_xyz
'x,y,z'
'-x,-y,-z'
'-x,y,-z'
'x,-y,z'
'x+1/2,y+1/2,z'
'-x+1/2,-y+1/2,-z'
'-x+1/2,y+1/2,-z'
'x+1/2,-y+1/2,z'
loop_
_atom_site_label
_atom_site_fract_x
_atom_site_fract_y
_atom_site_fract_z
_atom_site_occupancy
Ta1 0.2500 0.2500 0.0000 1
As1 0.0000 0.0000 0.5000 1
Au1 0.0000 0.5000 0.5000 1
```

Calculated values
Energy of formation from the pure elements, eV/atom: 0.01



[6]
An optimized crystal structure of PmGa2Pd2Pt, computed with PBE.

CIF file:
```
data_PmGa2Pd2Pt
_cell_length_a 4.7348
_cell_length_b 4.7348
_cell_length_c 5.5932
_cell_angle_alpha 90.00
_cell_angle_beta 90.00
_cell_angle_gamma 90.00
_symmetry_space_group_name_H-M 'P 4/m m m'
_symmetry_Int_Tables_number 123
_symmetry_space_group_name_Hall '-P 4 2'
loop_
_atom_site_label
_atom_site_fract_x
_atom_site_fract_y
_atom_site_fract_z
_atom_site_occupancy
Pm1 0.0000 0.0000 0.0000 1
Ga1 0.0000 0.5000 0.5000 1
Pd1 0.5000 0.5000 0.2437 1
Pt1 0.0000 0.0000 0.5000 1
```

Calculated values
Energy of formation from the pure elements, eV/atom: -0.53



[7]
An optimized crystal structure of TaSeS3, computed with PBE.

CIF file:
```
data_TaSeS3
_cell_length_a 4.6510
_cell_length_b 4.6510
_cell_length_c 4.6510
_cell_angle_alpha 90.00
_cell_angle_beta 90.00
_cell_angle_gamma 90.00
_symmetry_space_group_name_H-M 'P m -3 m'
_symmetry_Int_Tables_number 221
_symmetry_space_group_name_Hall '-P 4 2 3'
loop_
_atom_site_label
_atom_site_fract_x
_atom_site_fract_y
_atom_site_fract_z
_atom_site_occupancy
Ta1 0.0000 0.0000 0.0000 1
Se1 0.5000 0.5000 0.5000 1
S1 0.0000 0.5000 0.5000 1
```

Calculated values
Formation energy from raw total energies, eV per atom: 1.01



[8]
An optimized crystal structure of Ti3NO, computed with PBE.

CIF file:
```
data_Ti3NO
_cell_length_a 5.1793
_cell_length_b 5.1793
_cell_length_c 14.5978
_cell_angle_alpha 90.00
_cell_angle_beta 90.00
_cell_angle_gamma 120.00
_symmetry_space_group_name_H-M 'R 3 c'
_symmetry_Int_Tables_number 161
_symmetry_space_group_name_Hall 'R 3 -2"c'
loop_
_atom_site_label
_atom_site_fract_x
_atom_site_fract_y
_atom_site_fract_z
_atom_site_occupancy
Ti1 0.0044 0.3286 0.0000 1
N1 0.0000 0.0000 0.4115 1
O1 0.0000 0.0000 0.0903 1
```

Calculated values
Formation energy from raw total energies, eV per atom: -1.77



Number 6 is which compound?
PmGa2Pd2Pt



Which formula does entry 8 have?
Ti3NO